Entry 1:
# CrCuO2 GGA+U relaxed
# crystal system = trigonal
# E_tot = -6.828 eV/atom
# theoretical density = 5.322 g/cm3
# symmetry = R-3m (166)
# energy above the lowest structure with this stoichiometry = 0 meV per atom
data_CrCuO2
_symmetry_space_group_name_H-M 'P 1'
_symmetry_Int_Tables_number 1
_symmetry_space_group_name_Hall 'P 1'
_cell_length_a 5.9872
_cell_length_b 5.9872
_cell_length_c 5.9872
_cell_angle_alpha 29.49
_cell_angle_beta 29.49
_cell_angle_gamma 29.49
loop_
_atom_site_label
_atom_site_fract_x
_atom_site_fract_y
_atom_site_fract_z
Cr1 0.5000 0.5000 0.5000
O1 0.8921 0.8921 0.8921
O2 0.1079 0.1079 0.1079
Cu1 0.0000 0.0000 0.0000

=====

Entry 2:
# CrCuO2 GGA+U relaxed
# crystal system = trigonal
# E_tot = -5.951 eV/atom
# theoretical density = 5.270 g/cm3
# symmetry = R-3m (166)
# energy above the lowest structure with this stoichiometry = 877 meV per atom
data_CrCuO2
_symmetry_space_group_name_H-M 'P 1'
_symmetry_Int_Tables_number 1
_symmetry_space_group_name_Hall 'P 1'
_cell_length_a 6.0904
_cell_length_b 6.0904
_cell_length_c 6.0904
_cell_angle_alpha 28.84
_cell_angle_beta 28.84
_cell_angle_gamma 28.84
loop_
_atom_site_label
_atom_site_fract_x
_atom_site_fract_y
_atom_site_fract_z
Cr1 0.0000 0.0000 0.0000
O1 0.8926 0.8926 0.8926
O2 0.1074 0.1074 0.1074
Cu1 0.5000 0.5000 0.5000